A relaxed structure of FeSiNF2, computed with GGA+U.

Properties
Density ... 4.11 g cm⁻³
Energy ... -5.499 eV/atom
D(E_F) ... 1.00 states/eV/cell

Cell: 4.096 4.096 3.274 Å, 90.00 90.00 90.00°
Sites, in units of the cell vectors:
Fe  0.000  0.000  0.000
Si  0.500  0.500  0.500
N  0.500  0.500  0.000
F  0.000  0.500  0.500
F  0.500  0.000  0.500